<P>
## MnRe2Os (GGA-PBEsol)

Data for a geometry-optimized MnRe2Os structure.

For the magnetization, the calculation gives 0.260 μB/atom. The crystal system is monoclinic.

It has space group Cm (No. 8), with a = 8.829 Å, b = 2.697 Å, c = 4.648 Å, α = 90.00°, β = 100.18° and γ = 90.00°. The distinct sites, in fractional coordinates, are Mn at (0.000, 0.000, 0.000), Re at (0.002, 0.500, 0.506), Re at (0.246, 0.500, 0.236) and Os at (0.253, 0.000, 0.753).

***

<Q>
## MnRe2Os (GGA-PBEsol)

Data for a geometry-optimized MnRe2Os structure.

For the magnetization, the calculation gives 0.645 μB/atom. The crystal system is tetragonal.

It has space group P4/mmm (No. 123), with a = 4.460 Å, b = 4.460 Å, c = 2.817 Å, α = 90.00°, β = 90.00° and γ = 90.00°. The distinct sites, in fractional coordinates, are Mn at (0.000, 0.000, 0.000), Re at (0.000, 0.500, 0.500) and Os at (0.500, 0.500, 0.000).

***

Last place for stability: <Q>

***

<P>
## MnSb2Os (GGA-PBEsol)

Data for a geometry-optimized MnSb2Os structure.

For the magnetization, the calculation gives 0.801 μB/atom. The crystal system is tetragonal.

It has space group P4mm (No. 99), with a = 3.121 Å, b = 3.121 Å, c = 7.888 Å, α = 90.00°, β = 90.00° and γ = 90.00°. The distinct sites, in fractional coordinates, are Mn at (0.000, 0.000, 0.000), Sb at (0.000, 0.000, 0.397), Sb at (0.500, 0.500, 0.789) and Os at (0.500, 0.500, 0.186).

***

<Q>
## MnSb2Os (GGA-PBEsol)

Data for a geometry-optimized MnSb2Os structure.

For the magnetization, the calculation gives 0.065 μB/atom. The crystal system is cubic.

It has space group Fm-3m (No. 225), with a = 6.386 Å, b = 6.386 Å, c = 6.386 Å, α = 90.00°, β = 90.00° and γ = 90.00°. The distinct sites, in fractional coordinates, are Mn at (0.000, 0.000, 0.000), Sb at (0.250, 0.250, 0.250) and Os at (0.000, 0.000, 0.500).

***

Last place for stability: <Q>

***

<P>
## MnOsSe2 (GGA-PBEsol)

Data for a geometry-optimized MnOsSe2 structure.

For the magnetization, the calculation gives 0.824 μB/atom. The crystal system is orthorhombic.

It has space group Fmmm (No. 69), with a = 5.435 Å, b = 6.079 Å, c = 7.976 Å, α = 90.00°, β = 90.00° and γ = 90.00°. The distinct sites, in fractional coordinates, are Mn at (0.000, 0.000, 0.000), Os at (0.000, 0.000, 0.500) and Se at (0.000, 0.250, 0.250).

***

<Q>
## MnOsSe2 (GGA-PBEsol)

Data for a geometry-optimized MnOsSe2 structure.

For the magnetization, the calculation gives 0.000 μB/atom. The crystal system is trigonal.

It has space group R-3m (No. 166, hexagonal axes), with a = 2.9510 Å, b = 2.9510 Å, c = 22.3770 Å, α = 90.00°, β = 90.00° and γ = 120.00°. The distinct sites, in fractional coordinates, are Mn at (0.0000, 0.0000, 0.0000), Os at (0.0000, 0.0000, 0.5000) and Se at (0.0000, 0.0000, 0.2562).

***

Last place for stability: <P>

***

<P>
## MnOs2W (GGA-PBEsol)

Data for a geometry-optimized MnOs2W structure.

For the magnetization, the calculation gives 0.142 μB/atom. The crystal system is monoclinic.

It has space group C2/m (No. 12), with a = 8.798 Å, b = 2.702 Å, c = 4.682 Å, α = 90.00°, β = 100.08° and γ = 90.00°. The distinct sites, in fractional coordinates, are Mn at (0.000, 0.000, 0.000), Os at (0.244, 0.500, 0.232) and W at (0.000, 0.500, 0.500).

***

<Q>
## MnOs2W (GGA-PBEsol)

Data for a geometry-optimized MnOs2W structure.

For the magnetization, the calculation gives 0.344 μB/atom. The crystal system is tetragonal.

It has space group P4/mmm (No. 123), with a = 3.813 Å, b = 3.813 Å, c = 3.776 Å, α = 90.00°, β = 90.00° and γ = 90.00°. The distinct sites, in fractional coordinates, are Mn at (0.000, 0.000, 0.000), Os at (0.000, 0.500, 0.500) and W at (0.500, 0.500, 0.000).

***

<R>
## MnOs2W (GGA-PBEsol)

Data for a geometry-optimized MnOs2W structure.

For the magnetization, the calculation gives 0.065 μB/atom. The crystal system is tetragonal.

It has space group P4mm (No. 99), with a = 2.698 Å, b = 2.698 Å, c = 7.478 Å, α = 90.00°, β = 90.00° and γ = 90.00°. The distinct sites, in fractional coordinates, are Mn at (0.000, 0.000, 0.000), Os at (0.000, 0.000, 0.480), Os at (0.500, 0.500, 0.222) and W at (0.500, 0.500, 0.751).

***

Last place for stability: <R>

***

<P>
## Y2MnOs (GGA-PBEsol)

Data for a geometry-optimized Y2MnOs structure.

For the magnetization, the calculation gives 0.979 μB/atom. The crystal system is cubic.

It has space group F-43m (No. 216), with a = 6.724 Å, b = 6.724 Å, c = 6.724 Å, α = 90.00°, β = 90.00° and γ = 90.00°. The distinct sites, in fractional coordinates, are Y at (0.000, 0.000, 0.000), Y at (0.250, 0.250, 0.250), Mn at (0.250, 0.250, 0.750) and Os at (0.000, 0.000, 0.500).

***

<Q>
## Y2MnOs (GGA-PBEsol)

Data for a geometry-optimized Y2MnOs structure.

For the magnetization, the calculation gives 0.000 μB/atom. The crystal system is trigonal.

It has space group R3m (No. 160, hexagonal axes), with a = 3.9013 Å, b = 3.9013 Å, c = 21.7564 Å, α = 90.00°, β = 90.00° and γ = 120.00°. The distinct sites, in fractional coordinates, are Y at (0.0000, 0.0000, 0.0000), Y at (0.0000, 0.0000, 0.1852), Mn at (0.0000, 0.0000, 0.7506) and Os at (0.0000, 0.0000, 0.4331).

***

Last place for stability: <P>

***

<P>
## Mn5P3 (GGA-PBEsol)

Data for a geometry-optimized Mn5P3 structure.

For the magnetization, the calculation gives 0.879 μB/atom. The crystal system is tetragonal.

It has space group I4cm (No. 108), with a = 8.422 Å, b = 8.422 Å, c = 4.976 Å, α = 90.00°, β = 90.00° and γ = 90.00°. The distinct sites, in fractional coordinates, are Mn at (0.000, 0.500, 0.000), Mn at (0.072, 0.214, 0.172), P at (0.000, 0.000, 0.430) and P at (0.162, 0.338, 0.763).

***

<Q>
## Mn5P3 (GGA-PBEsol)

Data for a geometry-optimized Mn5P3 structure.

For the magnetization, the calculation gives 0.000 μB/atom. The crystal system is hexagonal.

It has space group P6_3/mcm (No. 193), with a = 6.3629 Å, b = 6.3629 Å, c = 4.7769 Å, α = 90.00°, β = 90.00° and γ = 120.00°. The distinct sites, in fractional coordinates, are Mn at (0.0000, 0.2470, 0.2500), Mn at (0.3333, 0.6667, 0.0000) and P at (0.0000, 0.3941, 0.7500).

***

Last place for stability: <P>

***

<P>
## MnReP (GGA-PBEsol)

Data for a geometry-optimized MnReP structure.

For the magnetization, the calculation gives 0.000 μB/atom. The crystal system is hexagonal.

It has space group P-6m2 (No. 187), with a = 3.8971 Å, b = 3.8971 Å, c = 2.7127 Å, α = 90.00°, β = 90.00° and γ = 120.00°. The distinct sites, in fractional coordinates, are Mn at (0.0000, 0.0000, 0.0000), Re at (0.6667, 0.3333, 0.5000) and P at (0.3333, 0.6667, 0.0000).

***

<Q>
## MnReP (GGA-PBEsol)

Data for a geometry-optimized MnReP structure.

For the magnetization, the calculation gives 0.242 μB/atom. The crystal system is trigonal.

It has space group P3m1 (No. 156), with a = 2.7192 Å, b = 2.7192 Å, c = 5.7537 Å, α = 90.00°, β = 90.00° and γ = 120.00°. The distinct sites, in fractional coordinates, are Mn at (0.0000, 0.0000, 0.0000), Re at (0.6667, 0.3333, 0.3552) and P at (0.3333, 0.6667, 0.7071).

***

<R>
## MnReP (GGA-PBEsol)

Data for a geometry-optimized MnReP structure.

For the magnetization, the calculation gives 0.301 μB/atom. The crystal system is cubic.

It has space group F-43m (No. 216), with a = 5.576 Å, b = 5.576 Å, c = 5.576 Å, α = 90.00°, β = 90.00° and γ = 90.00°. The distinct sites, in fractional coordinates, are Mn at (0.000, 0.000, 0.000), Re at (0.250, 0.250, 0.250) and P at (0.000, 0.000, 0.500).

***

Last place for stability: <R>

***

<P>
## Mn2PRu (GGA-PBEsol)

Data for a geometry-optimized Mn2PRu structure.

For the magnetization, the calculation gives 1.201 μB/atom. The crystal system is tetragonal.

It has space group P4/mmm (No. 123), with a = 3.537 Å, b = 3.537 Å, c = 3.762 Å, α = 90.00°, β = 90.00° and γ = 90.00°. The distinct sites, in fractional coordinates, are Mn at (0.000, 0.500, 0.000), P at (0.000, 0.000, 0.500) and Ru at (0.500, 0.500, 0.500).

***

<Q>
## Mn2PRu (GGA-PBEsol)

Data for a geometry-optimized Mn2PRu structure.

For the magnetization, the calculation gives 0.001 μB/atom. The crystal system is cubic.

It has space group Fm-3m (No. 225), with a = 5.641 Å, b = 5.641 Å, c = 5.641 Å, α = 90.00°, β = 90.00° and γ = 90.00°. The distinct sites, in fractional coordinates, are Mn at (0.250, 0.250, 0.250), P at (0.000, 0.000, 0.000) and Ru at (0.000, 0.000, 0.500).

***

Last place for stability: <Q>

***

<P>
## ScMnP2 (GGA-PBEsol)

Data for a geometry-optimized ScMnP2 structure.

For the magnetization, the calculation gives 0.000 μB/atom. The crystal system is orthorhombic.

It has space group Immm (No. 71), with a = 3.730 Å, b = 5.059 Å, c = 6.022 Å, α = 90.00°, β = 90.00° and γ = 90.00°. The distinct sites, in fractional coordinates, are Sc at (0.000, 0.000, 0.000), Mn at (0.000, 0.000, 0.500) and P at (0.000, 0.500, 0.202).

***

<Q>
## ScMnP2 (GGA-PBEsol)

Data for a geometry-optimized ScMnP2 structure.

For the magnetization, the calculation gives 0.019 μB/atom. The crystal system is orthorhombic.

It has space group Imm2 (No. 44), with a = 2.884 Å, b = 3.327 Å, c = 11.860 Å, α = 90.00°, β = 90.00° and γ = 90.00°. The distinct sites, in fractional coordinates, are Sc at (0.000, 0.000, 0.000), Mn at (0.000, 0.500, 0.741), P at (0.000, 0.000, 0.386) and P at (0.000, 0.500, 0.167).

***

<R>
## ScMnP2 (GGA-PBEsol)

Data for a geometry-optimized ScMnP2 structure.

For the magnetization, the calculation gives 0.751 μB/atom. The crystal system is tetragonal.

It has space group P4/mmm (No. 123), with a = 4.156 Å, b = 4.156 Å, c = 3.324 Å, α = 90.00°, β = 90.00° and γ = 90.00°. The distinct sites, in fractional coordinates, are Sc at (0.000, 0.000, 0.000), Mn at (0.500, 0.500, 0.000) and P at (0.000, 0.500, 0.500).

***

Last place for stability: <R>

***

<P>
## SrMnP2 (GGA-PBEsol)

Data for a geometry-optimized SrMnP2 structure.

For the magnetization, the calculation gives 0.258 μB/atom. The crystal system is tetragonal.

It has space group I4_1/amd (No. 141, origin choice 2), with a = 4.898 Å, b = 4.898 Å, c = 13.915 Å, α = 90.00°, β = 90.00° and γ = 90.00°. The distinct sites, in fractional coordinates, are Sr at (0.000, 0.250, 0.375), Mn at (0.000, 0.250, 0.875) and P at (0.000, 0.000, 0.000).

***

<Q>
## SrMnP2 (GGA-PBEsol)

Data for a geometry-optimized SrMnP2 structure.

For the magnetization, the calculation gives 0.499 μB/atom. The crystal system is orthorhombic.

It has space group Imm2 (No. 44), with a = 3.148 Å, b = 3.411 Å, c = 13.472 Å, α = 90.00°, β = 90.00° and γ = 90.00°. The distinct sites, in fractional coordinates, are Sr at (0.000, 0.000, 0.000), Mn at (0.000, 0.500, 0.744), P at (0.000, 0.000, 0.364) and P at (0.000, 0.500, 0.184).

***

Last place for stability: <Q>

***

<P>
## MnTcP2 (GGA-PBEsol)

Data for a geometry-optimized MnTcP2 structure.

For the magnetization, the calculation gives 0.144 μB/atom. The crystal system is orthorhombic.

It has space group Imm2 (No. 44), with a = 3.015 Å, b = 3.056 Å, c = 10.821 Å, α = 90.00°, β = 90.00° and γ = 90.00°. The distinct sites, in fractional coordinates, are Mn at (0.000, 0.000, 0.000), Tc at (0.000, 0.500, 0.250), P at (0.000, 0.000, 0.579) and P at (0.000, 0.500, 0.846).

***

<Q>
## MnTcP2 (GGA-PBEsol)

Data for a geometry-optimized MnTcP2 structure.

For the magnetization, the calculation gives 0.412 μB/atom. The crystal system is tetragonal.

It has space group P4mm (No. 99), with a = 3.040 Å, b = 3.040 Å, c = 5.246 Å, α = 90.00°, β = 90.00° and γ = 90.00°. The distinct sites, in fractional coordinates, are Mn at (0.000, 0.000, 0.000), Tc at (0.500, 0.500, 0.637), P at (0.000, 0.000, 0.441) and P at (0.500, 0.500, 0.143).

***

Last place for stability: <Q>

***

<P>
## MnTc2P (GGA-PBEsol)

Data for a geometry-optimized MnTc2P structure.

For the magnetization, the calculation gives 0.000 μB/atom. The crystal system is tetragonal.

It has space group P4mm (No. 99), with a = 2.787 Å, b = 2.787 Å, c = 6.258 Å, α = 90.00°, β = 90.00° and γ = 90.00°. The distinct sites, in fractional coordinates, are Mn at (0.000, 0.000, 0.000), Tc at (0.000, 0.000, 0.562), Tc at (0.500, 0.500, 0.275) and P at (0.500, 0.500, 0.810).

***

<Q>
## MnTc2P (GGA-PBEsol)

Data for a geometry-optimized MnTc2P structure.

For the magnetization, the calculation gives 0.000 μB/atom. The crystal system is orthorhombic.

It has space group Imm2 (No. 44), with a = 2.806 Å, b = 4.148 Å, c = 8.344 Å, α = 90.00°, β = 90.00° and γ = 90.00°. The distinct sites, in fractional coordinates, are Mn at (0.000, 0.000, 0.000), Tc at (0.000, 0.000, 0.445), Tc at (0.000, 0.500, 0.226) and P at (0.000, 0.500, 0.710).

***

<R>
## MnTc2P (GGA-PBEsol)

Data for a geometry-optimized MnTc2P structure.

For the magnetization, the calculation gives 0.565 μB/atom. The crystal system is cubic.

It has space group Fm-3m (No. 225), with a = 5.830 Å, b = 5.830 Å, c = 5.830 Å, α = 90.00°, β = 90.00° and γ = 90.00°. The distinct sites, in fractional coordinates, are Mn at (0.000, 0.000, 0.000), Tc at (0.250, 0.250, 0.250) and P at (0.000, 0.000, 0.500).

***

Last place for stability: <P>